Below is an optimized crystal structure of NaCd2Ga9, with properties calculated at the GGA-PBE level.

Cell: 5.581 5.747 8.740 Å, 106.57 96.51 108.07°
Sites, in units of the cell vectors:
Na  0.000  0.000  0.000
Cd  0.073  0.211  0.406
Cd  0.927  0.789  0.594
Ga  0.041  0.640  0.265
Ga  0.325  0.615  0.006
Ga  0.429  0.913  0.785
Ga  0.493  0.533  0.300
Ga  0.500  0.000  0.500
Ga  0.507  0.467  0.700
Ga  0.571  0.087  0.215
Ga  0.675  0.385  0.994
Ga  0.959  0.360  0.735

M_tot, Bohr magnetons per cell: 0.00
V, Å³ per cell: 249.1
Energy of formation, eV/atom: -0.0020

Below is an optimized crystal structure of Na6Cd5Ga, with properties calculated at the GGA-PBE level.

Cell: 8.709 8.709 4.488 Å, 104.60 104.60 102.88°
Sites, in units of the cell vectors:
Na  0.083  0.413  0.748
Na  0.246  0.246  0.247
Na  0.413  0.083  0.748
Na  0.587  0.917  0.252
Na  0.754  0.754  0.753
Na  0.917  0.587  0.252
Cd  0.161  0.839  0.000
Cd  0.331  0.669  0.500
Cd  0.500  0.500  0.000
Cd  0.669  0.331  0.500
Cd  0.839  0.161  0.000
Ga  0.000  0.000  0.500

M_tot, Bohr magnetons per cell: 0.00
V, Å³ per cell: 303.5
Energy of formation, eV/atom: -0.0533

Q: The highest V belongs to which entry?
A: Na6Cd5Ga